Density functional theory data (PBE-GGA) for a geometry-optimized Ta2TcH2 structure.

Lattice parameters (Å, degrees): 3.086 3.086 6.191 90.00 90.00 90.00
Space group P4/mmm (No. 123)
Inequivalent atoms, fractional coordinates:
1 Ta 0.000 0.000 0.236 (multiplicity 2)
2 Tc 0.500 0.500 0.500 (multiplicity 1)
3 H 0.000 0.500 0.000 (multiplicity 2)

As for the density of states at the Fermi level: 3.488 states/eV per cell. For the energy above the most stable polymorph in this dataset, the calculation gives 127 meV/atom.